Entry P
This record from Alexandria describes a relaxed InCuCl2 crystal. The functional is PBE.

It has space group I-42d (No. 122), with a = 7.287 Å, b = 7.287 Å, c = 7.499 Å, α = 90.00°, β = 90.00° and γ = 90.00°. The asymmetric unit holds In at (0.000, 0.000, 0.000), Cu at (0.000, 0.000, 0.500) and Cl at (0.158, 0.750, 0.625).

The calculation puts the volume at 398.2 Å³ per cell. The total magnetization comes out at 0.000 μB/f.u. As for the crystal system: tetragonal.


Entry Q
This record from Alexandria describes a relaxed InCuCl2 crystal. The functional is PBE.

It has space group Fm-3m (No. 225), with a = 7.133 Å, b = 7.133 Å, c = 7.133 Å, α = 90.00°, β = 90.00° and γ = 90.00°. The asymmetric unit holds In at (0.000, 0.000, 0.000), Cu at (0.000, 0.000, 0.500) and Cl at (0.250, 0.250, 0.250).

The calculation puts the volume at 363.0 Å³ per cell. The total magnetization comes out at 0.000 μB/f.u. As for the crystal system: cubic.


entry P wins, 0.400 eV/atom ahead of the next structure.